(1)
Below is an optimized crystal structure of Ho2MgRu, with properties calculated at the GGA-PBEsol level.

**DFT total energy**: -5.62 eV/atom
**Formation enthalpy at 0 K**: -67.5 kJ/mol of formula units
**Total magnetization**: 0.0001 μB/atom

Unit cell a=6.956 b=6.956 c=6.956 alpha=90.00 beta=90.00 gamma=90.00
Space group Fm-3m (No. 225)
Inequivalent atoms, fractional coordinates:
1 Ho 0.250 0.250 0.250 [8 per cell]
2 Mg 0.000 0.000 0.000 [4 per cell]
3 Ru 0.000 0.000 0.500 [4 per cell]

(2)
Below is an optimized crystal structure of Ho4MgRu, with properties calculated at the GGA-PBEsol level.

**DFT total energy**: -5.50 eV/atom
**Formation enthalpy at 0 K**: -129.2 kJ/mol of formula units
**Total magnetization**: 0.0000 μB/atom

Unit cell a=13.433 b=13.433 c=13.433 alpha=90.00 beta=90.00 gamma=90.00
Space group F-43m (No. 216)
Inequivalent atoms, fractional coordinates:
1 Ho 0.000 0.000 0.187 [24 per cell]
2 Ho 0.061 0.250 0.250 [24 per cell]
3 Ho 0.156 0.156 0.656 [16 per cell]
4 Mg 0.080 0.080 0.420 [16 per cell]
5 Ru 0.139 0.139 0.861 [16 per cell]

(3)
Below is an optimized crystal structure of Ho4MgS7, with properties calculated at the GGA-PBEsol level.

**DFT total energy**: -6.35 eV/atom
**Formation energy without anion corrections**: -2000 meV/atom
**Total magnetization**: 0.0000 μB/atom

Unit cell a=12.388 b=3.741 c=11.277 alpha=90.00 beta=105.28 gamma=90.00
Space group Cm (No. 8)
Inequivalent atoms, fractional coordinates:
1 Ho 0.000 0.000 0.000 [2 per cell]
2 Ho 0.088 0.500 0.371 [2 per cell]
3 Ho 0.194 0.500 0.808 [2 per cell]
4 Ho 0.386 0.000 0.596 [2 per cell]
5 Mg 0.317 0.500 0.226 [2 per cell]
6 S 0.033 0.000 0.749 [2 per cell]
7 S 0.160 0.500 0.029 [2 per cell]
8 S 0.218 0.000 0.318 [2 per cell]
9 S 0.233 0.500 0.590 [2 per cell]
10 S 0.356 0.000 0.850 [2 per cell]
11 S 0.434 0.000 0.153 [2 per cell]
12 S 0.460 0.500 0.444 [2 per cell]

(4)
Below is an optimized crystal structure of HoMg2Sc, with properties calculated at the GGA-PBEsol level.

**DFT total energy**: -3.79 eV/atom
**Formation enthalpy at 0 K**: -15.3 kJ/mol of formula units
**Total magnetization**: 0.0004 μB/atom

Unit cell a=7.291 b=7.291 c=7.291 alpha=90.00 beta=90.00 gamma=90.00
Space group Fm-3m (No. 225)
Inequivalent atoms, fractional coordinates:
1 Ho 0.000 0.000 0.000 [4 per cell]
2 Mg 0.250 0.250 0.250 [8 per cell]
3 Sc 0.000 0.000 0.500 [4 per cell]

(5)
Below is an optimized crystal structure of HoMgSn, with properties calculated at the GGA-PBEsol level.

**DFT total energy**: -4.24 eV/atom
**Formation enthalpy at 0 K**: -173.3 kJ/mol of formula units
**Total magnetization**: 0.0000 μB/atom

Unit cell a=4.326 b=4.326 c=15.681 alpha=90.00 beta=90.00 gamma=90.00
Space group I4/mmm (No. 139)
Inequivalent atoms, fractional coordinates:
1 Ho 0.000 0.000 0.167 [4 per cell]
2 Mg 0.000 0.500 0.000 [4 per cell]
3 Sn 0.000 0.000 0.363 [4 per cell]

(6)
Below is an optimized crystal structure of HoMgTl2, with properties calculated at the GGA-PBEsol level.

**DFT total energy**: -3.25 eV/atom
**Formation enthalpy at 0 K**: -104.8 kJ/mol of formula units
**Total magnetization**: 0.0001 μB/atom

Unit cell a=7.313 b=7.313 c=7.313 alpha=90.00 beta=90.00 gamma=90.00
Space group Fm-3m (No. 225)
Inequivalent atoms, fractional coordinates:
1 Ho 0.000 0.000 0.000 [4 per cell]
2 Mg 0.000 0.000 0.500 [4 per cell]
3 Tl 0.250 0.250 0.250 [8 per cell]

(7)
Below is an optimized crystal structure of Ho2MgTl, with properties calculated at the GGA-PBEsol level.

**DFT total energy**: -3.82 eV/atom
**Formation enthalpy at 0 K**: -101.0 kJ/mol of formula units
**Total magnetization**: 0.0001 μB/atom

Unit cell a=7.401 b=7.401 c=7.401 alpha=90.00 beta=90.00 gamma=90.00
Space group Fm-3m (No. 225)
Inequivalent atoms, fractional coordinates:
1 Ho 0.250 0.250 0.250 [8 per cell]
2 Mg 0.000 0.000 0.000 [4 per cell]
3 Tl 0.000 0.000 0.500 [4 per cell]

(8)
Below is an optimized crystal structure of YHoMg2, with properties calculated at the GGA-PBEsol level.

**DFT total energy**: -3.88 eV/atom
**Formation enthalpy at 0 K**: -30.6 kJ/mol of formula units
**Total magnetization**: 0.0002 μB/atom

Unit cell a=7.481 b=7.481 c=7.481 alpha=90.00 beta=90.00 gamma=90.00
Space group Fm-3m (No. 225)
Inequivalent atoms, fractional coordinates:
1 Y 0.000 0.000 0.000 [4 per cell]
2 Ho 0.000 0.000 0.500 [4 per cell]
3 Mg 0.250 0.250 0.250 [8 per cell]